A plane-wave DFT calculation with PBE was carried out for a geometry-optimized Er2ThPd4 structure.

abc: 4.932 8.543 14.358
angles: 90.00 90.00 90.00
Space group Cmcm (No. 63)
Inequivalent atoms, fractional coordinates:
Er1 0.000 0.167 0.063 x8
Th1 0.000 0.500 0.250 x4
Pd1 0.000 0.166 0.250 x4
Pd2 0.000 0.167 0.644 x8
Pd3 0.000 0.500 0.000 x4

Output
Volume = 21.61 Å³ per atom
Energy = -6.1287 eV per atom

***

A plane-wave DFT calculation with PBE was carried out for a geometry-optimized Er2ThPd3 structure.

abc: 5.000 15.124 3.512
angles: 90.00 90.00 90.00
Space group Pmmn (No. 59, origin choice 2)
Inequivalent atoms, fractional coordinates:
Er1 0.250 0.079 0.000 x4
Th1 0.250 0.750 0.001 x2
Pd1 0.250 0.250 0.499 x2
Pd2 0.250 0.579 0.500 x4

Output
Volume = 22.13 Å³ per atom
Energy = -6.1736 eV per atom

***

A plane-wave DFT calculation with PBE was carried out for a geometry-optimized ErThPd structure.

abc: 6.994 6.994 6.994
angles: 90.00 90.00 90.00
Space group F-43m (No. 216)
Inequivalent atoms, fractional coordinates:
Er1 0.000 0.000 0.000 x4
Th1 0.000 0.000 0.500 x4
Pd1 0.250 0.250 0.750 x4

Output
Offset from the most stable computed form = 0.168 eV per atom
Volume = 28.51 Å³ per atom